# 1
VASP calculation (PBE-GGA) on RbB after structural relaxation.

Structure (POSCAR):
```
RbB
1.0
-0.137 -0.645 4.736
-4.131 -1.091 2.146
-0.677 -4.378 1.798
B Rb
1 1
direct
0.500 0.500 0.500
0.000 0.000 0.000
```

Summary:
relative energy among the computed polymorphs = 1857 meV/atom
theoretical density = 2.07 g/cm³
E = -0.1220 Ry/atom
formation energy from the elements = 2.1624 eV per atom
DOS at the Fermi energy = 4.43 states/eV/cell



# 2
VASP calculation (PBE-GGA) on RbB after structural relaxation.

Structure (POSCAR):
```
RbB
1.0
6.352 0.000 0.000
0.000 8.882 0.000
0.000 0.000 9.101
B Rb
8 8
direct
0.516 0.755 0.000
0.265 0.751 0.000
0.235 0.249 0.500
0.735 0.251 0.500
0.484 0.255 0.500
0.765 0.749 0.000
0.016 0.745 0.000
0.984 0.245 0.500
0.004 0.428 0.791
0.496 0.572 0.291
0.504 0.072 0.209
0.504 0.574 0.707
0.996 0.426 0.207
0.996 0.928 0.709
0.004 0.926 0.293
0.496 0.074 0.793
```

Summary:
relative energy among the computed polymorphs = 0 meV/atom
theoretical density = 2.49 g/cm³
E = -0.2585 Ry/atom
formation energy from the elements = 0.3056 eV per atom
DOS at the Fermi energy = 10.83 states/eV/cell



# 3
VASP calculation (PBE-GGA) on RbB after structural relaxation.

Structure (POSCAR):
```
RbB
1.0
3.885 0.000 0.000
0.000 3.885 0.000
0.000 0.000 3.849
Rb B
1 1
direct
0.000 0.000 0.500
0.500 0.500 0.000
```

Summary:
relative energy among the computed polymorphs = 1697 meV/atom
theoretical density = 2.75 g/cm³
E = -0.1338 Ry/atom
formation energy from the elements = 2.0023 eV per atom
DOS at the Fermi energy = 2.21 states/eV/cell



# 4
VASP calculation (PBE-GGA) on RbB after structural relaxation.

Structure (POSCAR):
```
RbB
1.0
11.422 0.000 0.000
0.000 5.782 0.000
0.000 0.000 5.548
B Rb
6 6
direct
0.418 0.736 0.059
0.582 0.736 0.059
0.000 0.112 0.715
0.082 0.264 0.559
0.918 0.264 0.559
0.500 0.888 0.215
0.263 0.218 0.044
0.763 0.782 0.544
0.737 0.218 0.044
0.000 0.594 0.082
0.237 0.782 0.544
0.500 0.406 0.582
```

Summary:
relative energy among the computed polymorphs = 421 meV/atom
theoretical density = 2.62 g/cm³
E = -0.2275 Ry/atom
formation energy from the elements = 0.7267 eV per atom
DOS at the Fermi energy = 7.18 states/eV/cell



# 5
VASP calculation (PBE-GGA) on RbB after structural relaxation.

Structure (POSCAR):
```
RbB
1.0
-3.048 -3.995 -2.876
1.451 -0.895 5.533
-5.640 2.901 1.948
Rb B
2 2
direct
0.667 0.333 0.250
0.333 0.667 0.750
0.333 0.667 0.250
0.667 0.333 0.750
```

Summary:
relative energy among the computed polymorphs = 1908 meV/atom
theoretical density = 1.66 g/cm³
E = -0.1182 Ry/atom
formation energy from the elements = 2.2139 eV per atom
DOS at the Fermi energy = 7.64 states/eV/cell



# 6
VASP calculation (PBE-GGA) on RbB after structural relaxation.

Structure (POSCAR):
```
RbB
1.0
-4.472 2.881 -8.928
-4.791 -9.206 -0.571
-4.670 2.241 3.063
Rb B
8 8
direct
0.125 0.374 0.000
0.661 0.747 0.500
0.339 0.253 0.500
0.875 0.626 0.000
0.374 0.875 0.000
0.253 0.661 0.500
0.747 0.339 0.500
0.626 0.125 0.000
0.437 0.960 0.500
0.400 0.549 0.000
0.549 0.600 0.000
0.040 0.437 0.500
0.960 0.563 0.500
0.563 0.040 0.500
0.600 0.451 0.000
0.451 0.400 0.000
```

Summary:
relative energy among the computed polymorphs = 534 meV/atom
theoretical density = 1.97 g/cm³
E = -0.2192 Ry/atom
formation energy from the elements = 0.8395 eV per atom
DOS at the Fermi energy = 6.29 states/eV/cell



# 7
VASP calculation (PBE-GGA) on RbB after structural relaxation.

Structure (POSCAR):
```
RbB
1.0
-0.714 1.450 9.001
8.345 -3.532 1.231
3.672 8.310 -1.047
Rb B
6 6
direct
0.500 0.250 0.000
0.750 0.000 0.500
0.500 0.750 0.000
0.000 0.500 0.750
0.000 0.500 0.250
0.250 0.000 0.500
0.750 0.500 0.000
0.000 0.250 0.500
0.000 0.750 0.500
0.500 0.000 0.250
0.500 0.000 0.750
0.250 0.500 0.000
```

Summary:
relative energy among the computed polymorphs = 1985 meV/atom
theoretical density = 1.25 g/cm³
E = -0.1126 Ry/atom
formation energy from the elements = 2.2911 eV per atom
DOS at the Fermi energy = 29.10 states/eV/cell



# 8
VASP calculation (PBE-GGA) on RbB after structural relaxation.

Structure (POSCAR):
```
RbB
1.0
-4.824 3.008 -7.084
-2.486 -8.522 -1.925
-7.284 0.917 5.349
B Rb
8 8
direct
0.433 0.433 0.567
0.433 0.567 0.433
0.567 0.433 0.433
0.067 0.067 0.067
0.933 0.933 0.067
0.067 0.933 0.933
0.933 0.067 0.933
0.567 0.567 0.567
0.218 0.782 0.218
0.718 0.282 0.718
0.782 0.218 0.218
0.218 0.218 0.782
0.282 0.282 0.282
0.282 0.718 0.718
0.718 0.718 0.282
0.782 0.782 0.782
```

Summary:
relative energy among the computed polymorphs = 628 meV/atom
theoretical density = 1.71 g/cm³
E = -0.2123 Ry/atom
formation energy from the elements = 0.9334 eV per atom
DOS at the Fermi energy = 8.35 states/eV/cell



# 9
VASP calculation (PBE-GGA) on RbB after structural relaxation.

Structure (POSCAR):
```
RbB
1.0
7.155 0.000 0.000
0.000 7.155 0.000
0.000 0.000 6.092
B Rb
4 4
direct
0.078 0.922 0.000
0.422 0.422 0.500
0.922 0.078 0.000
0.578 0.578 0.500
0.807 0.193 0.500
0.193 0.807 0.500
0.693 0.693 0.000
0.307 0.307 0.000
```

Summary:
relative energy among the computed polymorphs = 847 meV/atom
theoretical density = 2.05 g/cm³
E = -0.1963 Ry/atom
formation energy from the elements = 1.1523 eV per atom
DOS at the Fermi energy = 3.13 states/eV/cell



# 10
VASP calculation (PBE-GGA) on RbB after structural relaxation.

Structure (POSCAR):
```
RbB
1.0
-3.402 14.351 -14.483
0.621 -2.186 -2.312
-5.161 -1.342 -0.117
B Rb
6 6
direct
0.500 0.500 0.500
0.251 0.000 0.000
0.749 0.000 0.000
0.751 0.500 0.000
0.249 0.500 0.000
0.000 0.000 0.500
0.500 0.000 0.000
0.159 0.000 0.500
0.341 0.500 0.500
0.659 0.500 0.500
0.841 0.000 0.500
0.000 0.500 0.000
```

Summary:
relative energy among the computed polymorphs = 589 meV/atom
theoretical density = 2.68 g/cm³
E = -0.2152 Ry/atom
formation energy from the elements = 0.8944 eV per atom
DOS at the Fermi energy = 7.63 states/eV/cell